A geometry-optimized Sm4Np3Se8 structure, computed with GGA-PBE.

Properties
Its uncorrected formation energy is -1547 meV per atom. The value obtained for the calculated volume is 399.1 Å³/cell.

abc: 8.2698 8.2625 8.2625
angles: 90.03 120.00 120.00
With the nearest neighbours (Å) after each atom.
Element x y z (fractional)
1 Sm 0.0000 0.0000 0.0000  6 Se 2.97
2 Sm 0.0000 0.5000 0.0000  6 Se 2.92
3 Se 0.0000 0.2538 0.7462  3 Sm 2.92-2.97, 2 Np 2.92
4 Se 0.5072 0.2555 0.2555  3 Np 2.90-2.92, 2 Sm 2.94-2.97
5 Np 0.5000 0.0000 0.5000  6 Se 2.92
6 Se 0.0014 0.2547 0.2547  1 Np 2.91, 4 Sm 2.92-2.97
7 Sm 0.5000 0.0000 0.0000  6 Se 2.93-2.95
8 Se 0.0000 0.7462 0.2538  3 Sm 2.92-2.97, 2 Np 2.92
9 Se 0.9986 0.7453 0.7453  1 Np 2.91, 4 Sm 2.92-2.97
10 Np 0.5000 0.5000 0.0000  6 Se 2.92
11 Se 0.5000 0.2520 0.7480  3 Np 2.90-2.92, 3 Sm 2.92-2.95
12 Se 0.5000 0.7480 0.2520  3 Np 2.90-2.92, 3 Sm 2.92-2.95
13 Se 0.4928 0.7445 0.7445  3 Np 2.90-2.92, 2 Sm 2.94-2.97
14 Sm 0.0000 0.0000 0.5000  6 Se 2.92
15 Np 0.5000 0.5000 0.5000  6 Se 2.90-2.91



A geometry-optimized TbSmNp2Se4 structure, computed with GGA-PBE.

Properties
Its uncorrected formation energy is -1443 meV per atom. The value obtained for the calculated volume is 197.4 Å³/cell.

abc: 4.1137 7.1351 7.1312
angles: 109.40 90.00 90.00
With the nearest neighbours (Å) after each atom.
Element x y z (fractional)
1 Se 0.5000 0.2540 0.2536  3 Np 2.89-2.91, 1 Tb 2.91, 2 Sm 2.93
2 Np 0.0000 0.5000 0.5000  6 Se 2.89
3 Np 0.5000 0.0000 0.5000  6 Se 2.91-2.92
4 Se 0.0000 0.7474 0.2512  3 Np 2.89-2.92, 2 Tb 2.91, 1 Sm 2.93
5 Tb 0.5000 0.5000 0.0000  6 Se 2.91
6 Sm 0.0000 0.0000 0.0000  6 Se 2.93
7 Se 0.0000 0.2526 0.7488  3 Np 2.89-2.92, 2 Tb 2.91, 1 Sm 2.93
8 Se 0.5000 0.7460 0.7464  3 Np 2.89-2.91, 1 Tb 2.91, 2 Sm 2.93



Number 1: Fermi-level density of states 31.33 states/eV/f.u.. Number 2: Fermi-level density of states 18.31 states/eV/f.u..